DFT (PBE+U) results for a geometry-optimized EuMoClO4 structure.

The space group is C2/m (No. 12) and the conventional cell measures 11.0052, 7.4837 and 7.1116 Å, with angles of 90.00, 105.85 and 90.00 degrees. The asymmetric unit holds Eu at (0.2476, 0.0000, 0.1310), Mo at (0.1411, 0.5000, 0.2676), Cl at (0.0123, 0.0000, 0.8120), O at (0.0268, 0.5000, 0.7837), O at (0.1969, 0.3137, 0.1509) and O at (0.2113, 0.5000, 0.5246).

As for the magnetic moment: 6.84 μB/f.u. As for the total energy: -7.56 eV/atom.